The following is a GGA-PBE calculation of crystalline Mg5Sc6Sn at its relaxed geometry, from Alexandria.

## Properties
Crystal system: orthorhombic
Uncorrected energy in eV per atom: -4.34
Energy relative to the elements in eV per atom: -0.175

a b c (Å): 5.0636 15.2256 7.0978
angles (deg): 90.00 90.00 90.00
Closest atoms and distances in Å follow each position.
Space group Cmmm (No. 65)
Inequivalent atoms, fractional coordinates:
Mg (0.0000, 0.0000, 0.0000)  8 Sc 3.09
Mg (0.0000, 0.3285, 0.5000)  8 Sc 3.04-3.16
Mg (0.0000, 0.3341, 0.0000)  8 Sc 3.08-3.10
Sc (0.0000, 0.1667, 0.2481)  7 Mg 3.04-3.10, 1 Sn 3.10
Sc (0.0000, 0.5000, 0.2500)  6 Mg 3.09-3.16, 2 Sn 3.09
Sn (0.0000, 0.0000, 0.5000)  8 Sc 3.09-3.10